Entry 1:
VASP calculation (PBE) on a relaxed structure of ZrMoPt2.

Geometry as POSCAR:
```
ZrMoPt2
1.0
0.000 3.270 3.270
3.270 0.000 3.270
3.270 3.270 0.000
Mo Zr Pt
1 1 2
Direct
0.500 0.500 0.500
0.000 0.000 0.000
0.750 0.750 0.750
0.250 0.250 0.250
```

Summary:
Space group: Fm-3m, No. 225
Total magnetic moment: 0.00 μB/f.u.
Raw total energy: -32.7 eV per cell
Energy of formation from the pure elements: -0.3071 eV per atom
V: 70 Å³/f.u.

***

Entry 2:
VASP calculation (PBE) on a relaxed structure of ZrMo4Pt.

Geometry as POSCAR:
```
ZrMo4Pt
1.0
-2.911 -2.892 -3.309
-4.975 1.396 -1.042
-1.263 1.903 -4.751
Pt Zr Mo
1 1 4
Direct
0.750 0.750 0.750
0.000 0.000 0.000
0.879 0.374 0.374
0.374 0.374 0.374
0.374 0.879 0.374
0.374 0.374 0.879
```

Summary:
Space group: F-43m, No. 216
Total magnetic moment: 0.00 μB/f.u.
Raw total energy: -57.7 eV per cell
Energy of formation from the pure elements: 0.0426 eV per atom
V: 104 Å³/f.u.

***

Which value of V does entry 1 give? 70 Å³/f.u.